No. 1
VASP calculation (GGA-PBE) on a relaxed Be2ZnAu crystal.

Mass density   9.4 g/cm3
Calculated volume   12.3 Å³/atom
M_tot   0.00 μB per cell
Calculated total energy   -2.987 eV/atom

The structure in POSCAR format:
```
Be2ZnAu
1.0
-0.9929 2.7872 -0.5698
-0.1647 -0.6590 -2.9364
-5.1186 -1.6874 0.6658
Be Zn Au
2 1 1
direct
0.0000 0.0000 0.0204
0.5000 0.5000 0.2326
0.0000 0.0000 0.4573
0.5000 0.5000 0.7897
```


No. 2
VASP calculation (GGA-PBE) on a relaxed BeZnAu2 crystal.

Mass density   10.9 g/cm3
Calculated volume   17.8 Å³/atom
M_tot   0.00 μB per cell
Offset from the most stable computed form   89 meV per atom

The structure in POSCAR format:
```
BeZnAu2
1.0
-3.9541 0.5342 0.4860
-0.1402 -2.3459 1.4382
2.2133 6.5177 10.8469
Au Be Zn
4 2 2
direct
0.7089 0.0000 0.4710
0.7089 0.5000 0.9710
0.2064 0.0000 0.6537
0.2064 0.5000 0.1537
0.7060 0.5000 0.6257
0.7060 0.0000 0.1257
0.7063 0.5000 0.2975
0.7063 0.0000 0.7975
```


No. 3
VASP calculation (GGA-PBE) on a relaxed BeZn2Au crystal.

Mass density   10.0 g/cm3
Calculated volume   14.0 Å³/atom
M_tot   0.00 μB per cell
Calculated total energy   -2.334 eV/atom

The structure in POSCAR format:
```
BeZn2Au
1.0
-0.9092 2.3937 1.0441
-2.5955 -0.7060 -0.6415
-0.7660 -3.1593 6.5759
Zn Be Au
2 1 1
direct
0.0000 0.0000 0.5422
0.0000 0.0000 0.9578
0.5000 0.5000 0.7500
0.5000 0.5000 0.2500
```


No. 4
VASP calculation (GGA-PBE) on a relaxed BeZnAu2 crystal.

Mass density   13.1 g/cm3
Calculated volume   14.9 Å³/atom
M_tot   0.00 μB per cell
Offset from the most stable computed form   86 meV per atom

The structure in POSCAR format:
```
BeZnAu2
1.0
-2.1963 -1.8645 -0.0420
2.6174 -3.0622 -0.9249
1.7652 0.0333 4.8853
Zn Au Be
1 2 1
direct
0.7666 0.5000 0.1123
0.4963 0.5000 0.5621
0.1757 0.0000 0.9324
0.9278 0.0000 0.4112
```